# 1
A plane-wave DFT calculation with GGA+U was carried out for a relaxed structure of Tl2CoRuO6.

Output
As for the total energy: -55.8 eV/f.u.

Geometry as CIF:
```
data_Tl2CoRuO6
_cell_length_a 5.3359
_cell_length_b 5.3359
_cell_length_c 5.0837
_cell_angle_alpha 90.00
_cell_angle_beta 90.00
_cell_angle_gamma 90.00
_symmetry_space_group_name_H-M 'P 4 m m'
_symmetry_Int_Tables_number 99
_symmetry_space_group_name_Hall 'P 4 -2'
loop_
_atom_site_label
_atom_site_type_symbol
_atom_site_fract_x
_atom_site_fract_y
_atom_site_fract_z
Tl1 Tl 0.0000 0.5000 0.0000
Co1 Co 0.0000 0.0000 0.5187
Ru1 Ru 0.5000 0.5000 0.5617
O1 O 0.0000 0.0000 0.1771
O2 O 0.2553 0.2553 0.6501
O3 O 0.5000 0.5000 0.2072
```



# 2
A plane-wave DFT calculation with GGA+U was carried out for a relaxed structure of Li2NbNi3O8.

Output
As for the total energy: -82.0 eV/f.u.

Geometry as CIF:
```
data_Li2NbNi3O8
_cell_length_a 5.8683
_cell_length_b 5.8683
_cell_length_c 9.6266
_cell_angle_alpha 90.00
_cell_angle_beta 90.00
_cell_angle_gamma 120.00
_symmetry_space_group_name_H-M 'P 63 m c'
_symmetry_Int_Tables_number 186
_symmetry_space_group_name_Hall 'P 6c -2c'
loop_
_atom_site_label
_atom_site_type_symbol
_atom_site_fract_x
_atom_site_fract_y
_atom_site_fract_z
Li1 Li 0.0000 0.0000 0.0000
Li2 Li 0.3333 0.6667 0.4068
Nb1 Nb 0.3333 0.6667 0.0042
Ni1 Ni 0.1693 0.3387 0.7235
O1 O 0.0000 0.0000 0.3102
O2 O 0.0341 0.5170 0.8507
O3 O 0.1648 0.3296 0.1000
O4 O 0.3333 0.6667 0.6258
```



Repeat the second record exactly.
A plane-wave DFT calculation with GGA+U was carried out for a relaxed structure of Li2NbNi3O8.

Output
As for the total energy: -82.0 eV/f.u.

Geometry as CIF:
```
data_Li2NbNi3O8
_cell_length_a 5.8683
_cell_length_b 5.8683
_cell_length_c 9.6266
_cell_angle_alpha 90.00
_cell_angle_beta 90.00
_cell_angle_gamma 120.00
_symmetry_space_group_name_H-M 'P 63 m c'
_symmetry_Int_Tables_number 186
_symmetry_space_group_name_Hall 'P 6c -2c'
loop_
_atom_site_label
_atom_site_type_symbol
_atom_site_fract_x
_atom_site_fract_y
_atom_site_fract_z
Li1 Li 0.0000 0.0000 0.0000
Li2 Li 0.3333 0.6667 0.4068
Nb1 Nb 0.3333 0.6667 0.0042
Ni1 Ni 0.1693 0.3387 0.7235
O1 O 0.0000 0.0000 0.3102
O2 O 0.0341 0.5170 0.8507
O3 O 0.1648 0.3296 0.1000
O4 O 0.3333 0.6667 0.6258
```